[1]
Mg2CrSi after structural relaxation, computed with PBEsol.

Cell and atoms, written as POSCAR:
```
Mg2CrSi
1.0
-0.344 -1.757 2.012
2.600 -0.683 -0.157
1.949 6.114 5.674
Cr Mg Si
1 2 1
direct
0.500 0.500 0.000
0.000 0.000 0.241
0.000 0.000 0.759
0.500 0.500 0.500
```

Its uncorrected formation energy is 0.403 eV per atom. Its crystal system is tetragonal. The value obtained for the theoretical density is 3.4 Mg/m³. As for the space group: P4/mmm (123).

***

[2]
MgCrSi3 after structural relaxation, computed with PBEsol.

Cell and atoms, written as POSCAR:
```
MgCrSi3
1.0
4.473 0.000 0.000
0.000 4.473 0.000
0.000 0.000 4.473
Cr Si Mg
1 3 1
direct
0.000 0.000 0.000
0.000 0.500 0.000
0.000 0.000 0.500
0.500 0.000 0.000
0.500 0.500 0.500
```

Its uncorrected formation energy is 0.302 eV per atom. Its crystal system is cubic. The value obtained for the theoretical density is 3.0 Mg/m³. As for the space group: Pm-3m (221).

***

[3]
MgTaCrSn2 after structural relaxation, computed with PBEsol.

Cell and atoms, written as POSCAR:
```
MgTaCrSn2
1.0
-2.663 1.211 -3.507
-3.855 -2.330 2.122
-1.227 4.198 2.381
Cr Mg Sn Ta
1 1 2 1
direct
0.000 0.000 0.000
0.500 0.500 0.500
0.000 0.000 0.500
0.000 0.500 0.000
0.500 0.000 0.000
```

Its crystal system is tetragonal. The value obtained for the theoretical density is 7.3 Mg/m³. As for the space group: P4/mmm (123). The energy of formation from the pure elements comes out at 0.650 eV/atom.

***

[4]
SrMgCr2 after structural relaxation, computed with PBEsol.

Cell and atoms, written as POSCAR:
```
SrMgCr2
1.0
-0.283 -0.788 -2.841
4.745 0.594 -0.638
1.117 -5.368 3.305
Cr Mg Sr
2 1 1
direct
0.145 0.000 0.877
0.855 0.000 0.123
0.500 0.500 0.000
0.500 0.500 0.500
```

Its crystal system is monoclinic. The value obtained for the theoretical density is 4.1 Mg/m³. As for the space group: P2/m (10). The energy of formation from the pure elements comes out at 0.886 eV/atom.

***

[5]
MgTa2Cr after structural relaxation, computed with PBEsol.

Cell and atoms, written as POSCAR:
```
MgTa2Cr
1.0
3.401 0.000 0.000
0.000 4.361 0.000
0.000 0.000 4.433
Cr Mg Ta
1 1 2
direct
0.500 0.000 0.500
0.000 0.500 0.500
0.000 0.000 0.000
0.500 0.500 0.000
```

Its crystal system is orthorhombic. The value obtained for the theoretical density is 11.1 Mg/m³. As for the space group: Pmmm (47). The energy of formation from the pure elements comes out at 0.453 eV/atom.

***

[6]
MgTaCr2 after structural relaxation, computed with PBEsol.

Cell and atoms, written as POSCAR:
```
MgTaCr2
1.0
2.586 0.002 0.004
-0.863 5.015 0.002
-0.863 -2.343 4.434
Cr Mg Ta
2 1 1
direct
0.000 0.500 0.000
0.000 0.000 0.500
0.500 0.000 0.000
0.500 0.500 0.500
```

Its crystal system is monoclinic. The value obtained for the theoretical density is 8.9 Mg/m³. As for the space group: C2/m (12). The energy of formation from the pure elements comes out at 0.522 eV/atom.

***

[7]
Mg4TaCr after structural relaxation, computed with PBEsol.

Cell and atoms, written as POSCAR:
```
Mg4TaCr
1.0
-0.496 2.813 -4.617
-3.337 -1.758 -3.904
-4.595 2.691 -1.059
Cr Mg Ta
1 4 1
direct
0.000 0.000 0.000
0.375 0.375 0.375
0.375 0.375 0.874
0.874 0.375 0.375
0.375 0.874 0.375
0.750 0.750 0.750
```

Its crystal system is cubic. The value obtained for the theoretical density is 4.8 Mg/m³. As for the space group: F-43m (216). The energy of formation from the pure elements comes out at 0.688 eV/atom.

***

[8]
MgTaCr2 after structural relaxation, computed with PBEsol.

Cell and atoms, written as POSCAR:
```
MgTaCr2
1.0
2.736 0.000 0.009
0.000 4.298 0.000
-0.908 0.000 5.362
Cr Mg Ta
2 1 1
direct
0.688 0.000 0.684
0.312 0.000 0.316
0.500 0.500 0.000
0.000 0.500 0.500
```

Its crystal system is monoclinic. The value obtained for the theoretical density is 8.1 Mg/m³. As for the space group: P2/m (10). The energy of formation from the pure elements comes out at 0.448 eV/atom.

***

[9]
MgTa2Cr after structural relaxation, computed with PBEsol.

Cell and atoms, written as POSCAR:
```
MgTa2Cr
1.0
-1.713 -0.854 -1.894
0.547 -3.990 1.303
-4.367 0.602 3.677
Cr Mg Ta
1 1 2
direct
0.500 0.500 0.000
0.500 0.500 0.500
0.000 0.000 0.764
0.000 0.000 0.236
```

Its crystal system is orthorhombic. The value obtained for the theoretical density is 11.1 Mg/m³. As for the space group: Pmmm (47). The energy of formation from the pure elements comes out at 0.480 eV/atom.

***

[10]
MgTa2Cr after structural relaxation, computed with PBEsol.

Cell and atoms, written as POSCAR:
```
MgTa2Cr
1.0
-0.683 -3.054 -0.710
4.579 -0.894 -0.558
-1.637 0.919 4.875
Cr Mg Ta
1 1 2
direct
0.500 0.000 0.000
0.000 0.500 0.000
0.785 0.785 0.570
0.215 0.215 0.430
```

Its crystal system is orthorhombic. The value obtained for the theoretical density is 11.0 Mg/m³. As for the space group: Immm (71). The energy of formation from the pure elements comes out at 0.342 eV/atom.

***

[11]
MgTa2Cr after structural relaxation, computed with PBEsol.

Cell and atoms, written as POSCAR:
```
MgTa2Cr
1.0
-0.569 -1.023 -2.391
-3.160 -2.546 1.841
-3.750 4.049 -0.839
Cr Mg Ta
1 1 2
direct
0.000 0.000 0.483
0.500 0.500 0.747
0.000 0.000 0.010
0.500 0.500 0.260
```

Its crystal system is orthorhombic. The value obtained for the theoretical density is 11.0 Mg/m³. As for the space group: Pmm2 (25). The energy of formation from the pure elements comes out at 0.497 eV/atom.

***

[12]
MgTa2Cr after structural relaxation, computed with PBEsol.

Cell and atoms, written as POSCAR:
```
MgTa2Cr
1.0
3.978 0.000 0.000
0.000 3.978 0.000
-1.989 -1.989 4.221
Cr Mg Ta
1 1 2
direct
0.500 0.500 0.000
0.000 0.000 0.000
0.750 0.250 0.500
0.250 0.750 0.500
```

Its crystal system is tetragonal. The value obtained for the theoretical density is 10.9 Mg/m³. As for the space group: I4/mmm (139). The energy of formation from the pure elements comes out at 0.499 eV/atom.